First-principles (GGA-PBE) data for an optimized crystal structure of Sc4InIr3, as listed in the Alexandria database.

Unit cell a=4.562 b=6.950 c=9.123 alpha=90.00 beta=90.00 gamma=90.00
Sites, in units of the cell vectors:
In 0.000 0.500 0.000
In 0.000 0.500 0.500
Sc 0.500 0.235 0.500
Sc 0.000 0.235 0.250
Sc 0.000 0.765 0.750
Sc 0.500 0.765 0.500
Sc 0.000 0.235 0.750
Sc 0.500 0.765 0.000
Sc 0.500 0.235 0.000
Sc 0.000 0.765 0.250
Ir 0.500 0.500 0.250
Ir 0.500 0.000 0.750
Ir 0.500 0.500 0.750
Ir 0.500 0.000 0.250
Ir 0.000 0.000 0.000
Ir 0.000 0.000 0.500

Output
**Calculated formation energy**: -0.821 eV/atom
**Crystal system**: tetragonal
**Space-group type**: P4/mmm (123)

***

First-principles (GGA-PBE) data for an optimized crystal structure of ScInIr2, as listed in the Alexandria database.

Unit cell a=5.238 b=5.238 c=4.702 alpha=73.55 beta=73.55 gamma=34.11
Sites, in units of the cell vectors:
Ir 0.259 0.259 0.306
Ir 0.992 0.992 0.941
In 0.736 0.736 0.813
Sc 0.513 0.513 0.440

Output
**Calculated formation energy**: -0.438 eV/atom
**Crystal system**: monoclinic
**Space-group type**: Cm (8)

***

First-principles (GGA-PBE) data for an optimized crystal structure of Sc6In2Ir, as listed in the Alexandria database.

Unit cell a=4.753 b=6.831 c=8.180 alpha=114.68 beta=106.86 gamma=90.00
Sites, in units of the cell vectors:
In 0.333 0.333 0.666
In 0.667 0.667 0.334
Sc 0.846 0.609 0.692
Sc 0.154 0.391 0.308
Sc 0.500 0.777 0.000
Sc 0.500 0.223 0.000
Sc 0.846 0.083 0.692
Sc 0.154 0.917 0.308
Ir 0.000 0.000 0.000

Output
**Calculated formation energy**: -0.280 eV/atom
**Crystal system**: orthorhombic
**Excess energy over the best structure of this formula in the dataset**: 219 meV per atom
**Space-group type**: Immm (71)

***

First-principles (GGA-PBE) data for an optimized crystal structure of Sc25InIr7, as listed in the Alexandria database.

Unit cell a=12.486 b=12.486 c=12.486 alpha=60.00 beta=60.00 gamma=60.00
Sites, in units of the cell vectors:
Sc 0.492 0.324 0.194
Sc 0.732 0.552 0.448
Sc 0.194 0.492 0.324
Sc 0.268 0.732 0.448
Sc 0.324 0.492 0.990
Sc 0.091 0.728 0.091
Sc 0.268 0.552 0.732
Sc 0.213 0.787 0.787
Sc 0.990 0.194 0.324
Sc 0.552 0.268 0.448
Sc 0.324 0.990 0.194
Sc 0.492 0.990 0.324
Sc 0.448 0.732 0.552
Sc 0.213 0.213 0.787
Sc 0.676 0.508 0.010
Sc 0.213 0.787 0.213
Sc 0.787 0.213 0.787
Sc 0.676 0.010 0.806
Sc 0.324 0.194 0.492
Sc 0.091 0.091 0.091
Sc 0.806 0.010 0.508
Sc 0.990 0.492 0.194
Sc 0.010 0.676 0.508
Sc 0.552 0.732 0.268
Sc 0.806 0.508 0.676
Sc 0.990 0.324 0.492
Sc 0.010 0.508 0.806
Sc 0.909 0.909 0.272
Sc 0.676 0.806 0.508
Sc 0.806 0.676 0.010
Sc 0.194 0.324 0.990
Sc 0.787 0.787 0.213
Sc 0.492 0.194 0.990
Sc 0.508 0.806 0.010
Sc 0.010 0.806 0.676
Sc 0.909 0.272 0.909
Sc 0.448 0.268 0.732
Sc 0.272 0.909 0.909
Sc 0.508 0.010 0.676
Sc 0.268 0.448 0.552
Sc 0.732 0.448 0.268
Sc 0.552 0.448 0.732
Sc 0.909 0.909 0.909
Sc 0.448 0.552 0.268
Sc 0.091 0.091 0.728
Sc 0.732 0.268 0.552
Sc 0.194 0.990 0.492
Sc 0.728 0.091 0.091
Sc 0.508 0.676 0.806
Sc 0.787 0.213 0.213
Ir 0.062 0.938 0.368
Ir 0.632 0.938 0.062
Ir 0.368 0.062 0.938
Ir 0.938 0.062 0.632
Ir 0.632 0.368 0.938
Ir 0.062 0.368 0.632
Ir 0.000 0.000 0.000
Ir 0.368 0.632 0.062
Ir 0.938 0.632 0.368
Ir 0.500 0.500 0.500
Ir 0.632 0.062 0.368
Ir 0.062 0.632 0.938
Ir 0.938 0.368 0.062
Ir 0.368 0.938 0.632
In 0.250 0.250 0.250
In 0.750 0.750 0.750

Output
**Calculated formation energy**: -0.595 eV/atom
**Crystal system**: cubic
**Space-group type**: Fm-3 (202)

***

First-principles (GGA-PBE) data for an optimized crystal structure of ScInIr2, as listed in the Alexandria database.

Unit cell a=4.761 b=4.761 c=5.131 alpha=78.02 beta=78.02 gamma=37.36
Sites, in units of the cell vectors:
Ir 0.997 0.997 0.001
Ir 0.503 0.503 0.499
Sc 0.250 0.250 0.250
In 0.750 0.750 0.750

Output
**Calculated formation energy**: -0.321 eV/atom
**Crystal system**: monoclinic
**Space-group type**: C2/m (12)

***

First-principles (GGA-PBE) data for an optimized crystal structure of Sc6InIr2, as listed in the Alexandria database.

Unit cell a=7.978 b=7.978 c=7.978 alpha=103.80 beta=112.16 gamma=112.59
Sites, in units of the cell vectors:
Sc 0.899 0.712 0.187
Sc 0.101 0.288 0.813
Sc 0.790 0.240 0.030
Sc 0.700 0.030 0.330
Sc 0.474 0.288 0.187
Sc 0.300 0.970 0.670
Sc 0.210 0.240 0.449
Sc 0.210 0.760 0.970
Sc 0.300 0.630 0.330
Sc 0.700 0.370 0.670
Sc 0.526 0.712 0.813
Sc 0.790 0.760 0.551
In 0.000 0.500 0.500
In 0.000 0.000 0.000
Ir 0.500 0.636 0.136
Ir 0.336 0.000 0.336
Ir 0.500 0.364 0.864
Ir 0.664 0.000 0.664

Output
**Calculated formation energy**: -0.629 eV/atom
**Crystal system**: orthorhombic
**Space-group type**: Immm (71)

***

First-principles (GGA-PBE) data for an optimized crystal structure of ScIn2Ir4, as listed in the Alexandria database.

Unit cell a=4.670 b=4.670 c=7.543 alpha=71.97 beta=71.97 gamma=90.00
Sites, in units of the cell vectors:
Ir 0.500 0.000 0.000
Ir 0.000 0.500 0.000
Ir 0.183 0.183 0.634
Ir 0.817 0.817 0.366
Sc 0.000 0.000 0.000
In 0.374 0.374 0.251
In 0.626 0.626 0.749

Output
**Calculated formation energy**: 0.979 eV/atom
**Crystal system**: tetragonal
**Space-group type**: I4/mmm (139)

***

First-principles (GGA-PBE) data for an optimized crystal structure of Sc2InSi2Ir5, as listed in the Alexandria database.

Unit cell a=3.539 b=9.519 c=9.519 alpha=90.00 beta=90.00 gamma=90.00
Sites, in units of the cell vectors:
In 0.000 0.500 0.500
In 0.000 0.000 0.000
Si 0.000 0.125 0.625
Si 0.000 0.375 0.125
Si 0.000 0.625 0.875
Si 0.000 0.875 0.375
Ir 0.500 0.787 0.929
Ir 0.500 0.713 0.429
Ir 0.500 0.287 0.571
Ir 0.500 0.000 0.500
Ir 0.500 0.571 0.713
Ir 0.500 0.929 0.213
Ir 0.500 0.500 0.000
Ir 0.500 0.213 0.071
Ir 0.500 0.071 0.787
Ir 0.500 0.429 0.287
Sc 0.000 0.174 0.326
Sc 0.000 0.326 0.826
Sc 0.000 0.826 0.674
Sc 0.000 0.674 0.174

Output
**Crystal system**: tetragonal
**Formation energy from raw total energies**: -0.81 eV/atom
**Space-group type**: P4/mbm (127)

***

First-principles (GGA-PBE) data for an optimized crystal structure of Sc5TlIn2Ir2, as listed in the Alexandria database.

Unit cell a=3.467 b=11.302 c=11.302 alpha=90.00 beta=90.00 gamma=90.00
Sites, in units of the cell vectors:
Tl 0.000 0.500 0.500
Tl 0.000 0.000 0.000
Sc 0.500 0.000 0.500
Sc 0.500 0.923 0.206
Sc 0.500 0.794 0.923
Sc 0.500 0.500 0.000
Sc 0.500 0.077 0.794
Sc 0.500 0.294 0.577
Sc 0.500 0.706 0.423
Sc 0.500 0.577 0.706
Sc 0.500 0.206 0.077
Sc 0.500 0.423 0.294
In 0.000 0.671 0.171
In 0.000 0.829 0.671
In 0.000 0.329 0.829
In 0.000 0.171 0.329
Ir 0.000 0.369 0.131
Ir 0.000 0.631 0.869
Ir 0.000 0.869 0.369
Ir 0.000 0.131 0.631

Output
**Calculated formation energy**: -0.554 eV/atom
**Crystal system**: tetragonal
**Space-group type**: P4/mbm (127)

***

First-principles (GGA-PBE) data for an optimized crystal structure of TmScInIr, as listed in the Alexandria database.

Unit cell a=3.221 b=3.221 c=8.188 alpha=90.00 beta=90.00 gamma=90.00
Sites, in units of the cell vectors:
Ir 0.000 0.000 0.558
Sc 0.500 0.500 0.363
In 0.000 0.000 0.083
Tm 0.500 0.500 0.781

Output
**Calculated formation energy**: -0.715 eV/atom
**Crystal system**: tetragonal
**Excess energy over the best structure of this formula in the dataset**: 0 meV per atom
**Space-group type**: P4mm (99)

***

First-principles (GGA-PBE) data for an optimized crystal structure of TmScInIr, as listed in the Alexandria database.

Unit cell a=4.899 b=4.899 c=4.899 alpha=60.00 beta=60.00 gamma=60.00
Sites, in units of the cell vectors:
Ir 0.000 0.000 0.000
Tm 0.250 0.250 0.250
In 0.500 0.500 0.500
Sc 0.750 0.750 0.750

Output
**Calculated formation energy**: -0.597 eV/atom
**Crystal system**: cubic
**Excess energy over the best structure of this formula in the dataset**: 118 meV per atom
**Space-group type**: F-43m (216)